Computed, not measured: crystalline KTaS2N at its relaxed geometry at the PBE-GGA level of DFT.

Cell lengths 5.0453, 5.0453, 3.8285 Å; angles 90.00, 90.00, 90.00 degrees
Fractional coordinates of all 5 atoms:
1 K 0.0000 0.0000 0.0000
2 Ta 0.5000 0.5000 0.5000
3 S 0.0000 0.5000 0.0000
4 S 0.5000 0.0000 0.0000
5 N 0.0000 0.0000 0.5000

symmetry	P4/mmm (123)
E_tot	-18.3	eV/cell
formation energy (no corrections)	2248	meV/atom
energy relative to the lowest polymorph listed for this composition	279.3	kJ per mole of atoms